1.
Here is a geometry-optimized HfNi8B4 structure from the Alexandria database. Energies are from PBE-GGA.

Structure (CIF):
```
data_HfNi8B4
_space_group_name_H-M_alt 'I 4/m m m'
_space_group_IT_number 139
_space_group_name_Hall '-I 4 2'
_cell_length_a 7.5322
_cell_length_b 7.5322
_cell_length_c 4.4228
_cell_angle_alpha 90.00
_cell_angle_beta 90.00
_cell_angle_gamma 90.00
loop_
_atom_site_label
_atom_site_fract_x
_atom_site_fract_y
_atom_site_fract_z
_atom_site_occupancy
Hf1 0.0000 0.0000 0.0000 1
Ni1 0.0000 0.2229 0.5000 1
Ni2 0.0000 0.3392 0.0000 1
B1 0.2500 0.2500 0.2500 1
```

Properties
Spin magnetization   0.0 μB/f.u.
Raw total energy   -171.55 eV per cell
Volume   250.9 Å³ per cell


2.
Here is a geometry-optimized Hf2NiB2 structure from the Alexandria database. Energies are from PBE-GGA.

Structure (CIF):
```
data_Hf2NiB2
_space_group_name_H-M_alt 'P 4/m b m'
_space_group_IT_number 127
_space_group_name_Hall '-P 4 2ab'
_cell_length_a 6.0642
_cell_length_b 6.0642
_cell_length_c 3.4123
_cell_angle_alpha 90.00
_cell_angle_beta 90.00
_cell_angle_gamma 90.00
loop_
_atom_site_label
_atom_site_fract_x
_atom_site_fract_y
_atom_site_fract_z
_atom_site_occupancy
Hf1 0.1820 0.3180 0.0000 1
Ni1 0.0000 0.0000 0.5000 1
B1 0.1034 0.6034 0.5000 1
```

Properties
Spin magnetization   0.0 μB/f.u.
Raw total energy   -84.75 eV per cell
Volume   125.5 Å³ per cell


3.
Here is a geometry-optimized Hf4NiB structure from the Alexandria database. Energies are from PBE-GGA.

Structure (CIF):
```
data_Hf4NiB
_space_group_name_H-M_alt 'I 41 m d'
_space_group_IT_number 109
_space_group_name_Hall 'I 4bw -2'
_cell_length_a 8.0757
_cell_length_b 8.0757
_cell_length_c 7.2318
_cell_angle_alpha 90.00
_cell_angle_beta 90.00
_cell_angle_gamma 90.00
loop_
_atom_site_label
_atom_site_fract_x
_atom_site_fract_y
_atom_site_fract_z
_atom_site_occupancy
Hf1 0.0000 0.2891 0.0000 1
Hf2 0.0000 0.3021 0.4598 1
Ni1 0.0000 0.0000 0.4899 1
B1 0.0000 0.0000 0.9730 1
```

Properties
Spin magnetization   0.0 μB/f.u.
Raw total energy   -210.59 eV per cell
Volume   471.6 Å³ per cell


4.
Here is a geometry-optimized HfNiB4 structure from the Alexandria database. Energies are from PBE-GGA.

Structure (CIF):
```
data_HfNiB4
_space_group_name_H-M_alt 'P b a m'
_space_group_IT_number 55
_cell_length_a 5.7692
_cell_length_b 11.2017
_cell_length_c 3.2721
_cell_angle_alpha 90.00
_cell_angle_beta 90.00
_cell_angle_gamma 90.00
loop_
_space_group_symop_operation_xyz
'x,y,z'
'-x,-y,-z'
'-x,-y,z'
'x,y,-z'
'x+1/2,-y+1/2,-z'
'-x+1/2,y+1/2,z'
'-x+1/2,y+1/2,-z'
'x+1/2,-y+1/2,z'
loop_
_atom_site_label
_atom_site_fract_x
_atom_site_fract_y
_atom_site_fract_z
_atom_site_occupancy
Hf1 0.1264 0.1515 0.0000 1
Ni1 0.1344 0.4111 0.0000 1
B1 0.0255 0.6947 0.5000 1
B2 0.1165 0.5491 0.5000 1
B3 0.1331 0.9682 0.5000 1
B4 0.2103 0.8131 0.5000 1
```

Properties
Spin magnetization   0.0 μB/f.u.
Raw total energy   -183.06 eV per cell
Volume   211.5 Å³ per cell


5.
Here is a geometry-optimized HfNi22B6 structure from the Alexandria database. Energies are from PBE-GGA.

Structure (CIF):
```
data_HfNi22B6
_space_group_name_H-M_alt 'F m -3 m'
_space_group_IT_number 225
_space_group_name_Hall '-F 4 2 3'
_cell_length_a 10.5346
_cell_length_b 10.5346
_cell_length_c 10.5346
_cell_angle_alpha 90.00
_cell_angle_beta 90.00
_cell_angle_gamma 90.00
loop_
_atom_site_label
_atom_site_fract_x
_atom_site_fract_y
_atom_site_fract_z
_atom_site_occupancy
Hf1 0.0000 0.0000 0.0000 1
Ni1 0.0000 0.1714 0.1714 1
Ni2 0.1175 0.1175 0.3825 1
Ni3 0.2500 0.2500 0.2500 1
B1 0.0000 0.0000 0.2713 1
```

Properties
Spin magnetization   1.1 μB/f.u.
Raw total energy   -738.09 eV per cell
Volume   1169.1 Å³ per cell


6.
Here is a geometry-optimized HfNiB3 structure from the Alexandria database. Energies are from PBE-GGA.

Structure (CIF):
```
data_HfNiB3
_space_group_name_H-M_alt 'C m c m'
_space_group_IT_number 63
_space_group_name_Hall '-C 2c 2'
_cell_length_a 3.3599
_cell_length_b 17.9815
_cell_length_c 3.1031
_cell_angle_alpha 90.00
_cell_angle_beta 90.00
_cell_angle_gamma 90.00
loop_
_atom_site_label
_atom_site_fract_x
_atom_site_fract_y
_atom_site_fract_z
_atom_site_occupancy
Hf1 0.0000 0.0776 0.2500 1
Ni1 0.0000 0.2078 0.7500 1
B1 0.0000 0.3220 0.7500 1
B2 0.0000 0.3705 0.2500 1
B3 0.0000 0.4752 0.2500 1
```

Properties
Spin magnetization   0.0 μB/f.u.
Raw total energy   -155.64 eV per cell
E above lowest polymorph   0.000 eV/atom
Volume   187.5 Å³ per cell


7.
Here is a geometry-optimized HfNi5B structure from the Alexandria database. Energies are from PBE-GGA.

Structure (CIF):
```
data_HfNi5B
_space_group_name_H-M_alt 'P 4/m m m'
_space_group_IT_number 123
_space_group_name_Hall '-P 4 2'
_cell_length_a 3.5732
_cell_length_b 3.5732
_cell_length_c 6.3092
_cell_angle_alpha 90.00
_cell_angle_beta 90.00
_cell_angle_gamma 90.00
loop_
_atom_site_label
_atom_site_fract_x
_atom_site_fract_y
_atom_site_fract_z
_atom_site_occupancy
Hf1 0.0000 0.0000 0.0000 1
Ni1 0.0000 0.5000 0.3106 1
Ni2 0.5000 0.5000 0.0000 1
B1 0.5000 0.5000 0.5000 1
```

Properties
Spin magnetization   0.0 μB/f.u.
Raw total energy   -48.09 eV per cell
Volume   80.6 Å³ per cell


8.
Here is a geometry-optimized Hf3Ni20B6 structure from the Alexandria database. Energies are from PBE-GGA.

Structure (CIF):
```
data_Hf3Ni20B6
_space_group_name_H-M_alt 'F m -3 m'
_space_group_IT_number 225
_space_group_name_Hall '-F 4 2 3'
_cell_length_a 10.6724
_cell_length_b 10.6724
_cell_length_c 10.6724
_cell_angle_alpha 90.00
_cell_angle_beta 90.00
_cell_angle_gamma 90.00
loop_
_atom_site_label
_atom_site_fract_x
_atom_site_fract_y
_atom_site_fract_z
_atom_site_occupancy
Hf1 0.0000 0.0000 0.0000 1
Hf2 0.2500 0.2500 0.2500 1
Ni1 0.0000 0.1722 0.1722 1
Ni2 0.1140 0.1140 0.3860 1
B1 0.0000 0.0000 0.2666 1
```

Properties
Spin magnetization   0.0 μB/f.u.
Raw total energy   -794.45 eV per cell
Volume   1215.6 Å³ per cell


Which value of raw total energy does entry 6 give? -155.64 eV per cell


Among the records above, which one has the highest volume? Hf3Ni20B6